FeGeF4: optimized geometry, GGA+U.

Summary:
E_tot = -5.164 eV/atom
V = 181.0 Å³ per cell
Space-group type = C2/c (15)
Energy relative to the lowest polymorph listed for this composition = 0.000 eV/atom

abc: 4.7204 5.4518 7.8761
angles: 109.50 106.58 92.36
Site moments in Bohr magnetons follow the coordinates.
Fractional positions:
Fe 0.4358 0.1858 0.8715  3.78
F 0.3778 0.0799 0.2849  0.02
Ge 0.1557 0.4057 0.3113  0.01
Ge 0.8443 0.5943 0.6887  0.01
F 0.6222 0.9201 0.7151  0.02
F 0.6905 0.5469 0.8896  0.02
F 0.1991 0.8427 0.8896  0.02
F 0.8009 0.1573 0.1104  0.02
F 0.0928 0.2949 0.7151  0.02
Fe 0.5642 0.8142 0.1285  3.78
F 0.9072 0.7051 0.2849  0.02
F 0.3095 0.4531 0.1104  0.02